Entry 1:
First-principles (PBE) data for a relaxed structure of ErTm3Pb3, as listed in Alexandria via LeMat-Bulk.

Cell lengths 9.2932, 9.2932, 9.2932 Å; angles 90.00, 90.00, 90.00 degrees
Space group P2_13 (No. 198)
Symmetry-distinct sites (fractional):
Er: 0.0705 0.4295 0.5705 (multiplicity 4)
Tm: 0.0720 0.5720 0.9280 (multiplicity 4)
Tm: 0.1788 0.1788 0.1788 (multiplicity 4)
Tm: 0.1788 0.8212 0.3212 (multiplicity 4)
Pb: 0.0001 0.2511 0.8751 (multiplicity 12)

Calculated values
**ΔH_f (0 K)**: -488 meV per atom

---

Entry 2:
First-principles (PBE) data for a relaxed structure of BeCu2Pb, as listed in Alexandria via LeMat-Bulk.

Cell lengths 3.1790, 3.1790, 6.1565 Å; angles 90.00, 90.00, 90.00 degrees
Space group P4mm (No. 99)
Symmetry-distinct sites (fractional):
Be: 0.0000 0.0000 0.0000 (multiplicity 1)
Cu: 0.0000 0.0000 0.3555 (multiplicity 1)
Cu: 0.5000 0.5000 0.1388 (multiplicity 1)
Pb: 0.5000 0.5000 0.6740 (multiplicity 1)

Calculated values
**ΔH_f (0 K)**: 312 meV per atom

---

Entry 3:
First-principles (PBE) data for a relaxed structure of CeLuHg4, as listed in Alexandria via LeMat-Bulk.

Cell lengths 8.4560, 8.4560, 8.4560 Å; angles 90.00, 90.00, 90.00 degrees
Space group F-43m (No. 216)
Symmetry-distinct sites (fractional):
Ce: 0.0000 0.0000 0.0000 (multiplicity 4)
Lu: 0.2500 0.2500 0.7500 (multiplicity 4)
Hg: 0.1250 0.1250 0.3750 (multiplicity 16)

Calculated values
**ΔH_f (0 K)**: -143 meV per atom

---

Entry 4:
First-principles (PBE) data for a relaxed structure of Y2NpScSb4, as listed in Alexandria via LeMat-Bulk.

Cell lengths 7.5077, 4.3384, 7.5225 Å; angles 90.00, 109.29, 90.00 degrees
Space group P2/m (No. 10)
Symmetry-distinct sites (fractional):
Y: 0.0000 0.0000 0.0000 (multiplicity 1)
Y: 0.5000 0.5000 0.0000 (multiplicity 1)
Np: 0.0000 0.5000 0.5000 (multiplicity 1)
Sc: 0.5000 0.0000 0.5000 (multiplicity 1)
Sb: 0.2556 0.0000 0.7452 (multiplicity 2)
Sb: 0.2597 0.5000 0.2605 (multiplicity 2)

Calculated values
**E_form (uncorrected)**: -0.845 eV/atom

---

Total magnetic moment readings, ordered: 0.00, 0.00, 1.01, 3.89 μB per formula unit
Total energy readings, ordered: -4.646, -3.594, -2.087, -6.932 eV/atom